# Nd5Sm4Dy2

Crystalline Nd5Sm4Dy2 at its relaxed geometry (PBE, Alexandria via LeMat-Bulk).

a b c (Å): 12.7692 12.7692 12.7692
angles (deg): 164.06 136.98 46.16
Sites, in units of the cell vectors:
Nd 0.0000 0.0000 0.0000
Nd 0.0540 0.3507 0.7034
Nd 0.3527 0.6493 0.7034
Nd 0.6473 0.3507 0.2966
Nd 0.9460 0.6493 0.2966
Sm 0.3032 0.5000 0.8032
Sm 0.4036 0.9036 0.5000
Sm 0.5964 0.0964 0.5000
Sm 0.6968 0.5000 0.1968
Dy 0.2698 0.7698 0.5000
Dy 0.7302 0.2302 0.5000

raw total energy	-4.5017	eV per atom
DOS at the Fermi energy	17.10	states/eV per cell
magnetic moment	0.00	μB per formula unit
crystal system	orthorhombic
energy of formation from the pure elements	0.218	eV/atom


# Nd6Sm2Dy5

Crystalline Nd6Sm2Dy5 at its relaxed geometry (PBE, Alexandria via LeMat-Bulk).

a b c (Å): 11.8156 20.6186 3.6466
angles (deg): 90.00 90.00 90.00
Sites, in units of the cell vectors:
Nd 0.0595 0.0783 0.0000
Nd 0.0802 0.3659 0.0000
Nd 0.1767 0.6303 0.5000
Nd 0.3233 0.1303 0.5000
Nd 0.4198 0.8659 0.0000
Nd 0.4405 0.5783 0.0000
Nd 0.5595 0.4217 0.0000
Nd 0.5802 0.1341 0.0000
Nd 0.6767 0.8697 0.5000
Nd 0.8233 0.3697 0.5000
Nd 0.9198 0.6341 0.0000
Nd 0.9405 0.9217 0.0000
Sm 0.1677 0.7864 0.0000
Sm 0.3323 0.2864 0.0000
Sm 0.6677 0.7136 0.0000
Sm 0.8323 0.2136 0.0000
Dy 0.0000 0.5000 0.5000
Dy 0.0919 0.2239 0.5000
Dy 0.1993 0.9442 0.5000
Dy 0.3007 0.4442 0.5000
Dy 0.4081 0.7239 0.5000
Dy 0.5000 0.0000 0.5000
Dy 0.5919 0.2761 0.5000
Dy 0.6993 0.5558 0.5000
Dy 0.8007 0.0558 0.5000
Dy 0.9081 0.7761 0.5000

raw total energy	-4.5970	eV per atom
DOS at the Fermi energy	30.16	states/eV per cell
magnetic moment	0.00	μB per formula unit
crystal system	orthorhombic
energy of formation from the pure elements	0.100	eV/atom


# Nd6Sm6Dy

Crystalline Nd6Sm6Dy at its relaxed geometry (PBE, Alexandria via LeMat-Bulk).

a b c (Å): 6.7766 6.7766 11.5411
angles (deg): 90.00 90.00 120.00
Sites, in units of the cell vectors:
Nd 0.0000 0.5000 0.2480
Nd 0.0000 0.5000 0.7520
Nd 0.5000 0.0000 0.2480
Nd 0.5000 0.0000 0.7520
Nd 0.5000 0.5000 0.2480
Nd 0.5000 0.5000 0.7520
Sm 0.0000 0.0000 0.3515
Sm 0.0000 0.0000 0.6485
Sm 0.3333 0.6667 0.0000
Sm 0.3333 0.6667 0.5000
Sm 0.6667 0.3333 0.0000
Sm 0.6667 0.3333 0.5000
Dy 0.0000 0.0000 0.0000

raw total energy	-4.4481	eV per atom
DOS at the Fermi energy	25.37	states/eV per cell
magnetic moment	0.00	μB per formula unit
crystal system	hexagonal
energy of formation from the pure elements	0.284	eV/atom


# NdSm3Dy5

Crystalline NdSm3Dy5 at its relaxed geometry (PBE, Alexandria via LeMat-Bulk).

a b c (Å): 9.5420 9.5420 9.9414
angles (deg): 121.13 121.13 73.54
Sites, in units of the cell vectors:
Nd 0.2477 0.2477 0.4078
Nd 0.7523 0.7523 0.5922
Sm 0.0000 0.0000 0.0000
Sm 0.0203 0.0203 0.3598
Sm 0.4930 0.4930 0.1880
Sm 0.5000 0.5000 0.5000
Sm 0.5070 0.5070 0.8120
Sm 0.9797 0.9797 0.6402
Dy 0.1000 0.6004 0.2506
Dy 0.2252 0.2252 0.0440
Dy 0.2576 0.7424 0.0000
Dy 0.2791 0.2791 0.7759
Dy 0.3996 0.9000 0.7494
Dy 0.6004 0.1000 0.2506
Dy 0.7209 0.7209 0.2241
Dy 0.7424 0.2576 0.0000
Dy 0.7748 0.7748 0.9560
Dy 0.9000 0.3996 0.7494

raw total energy	-4.1562	eV per atom
DOS at the Fermi energy	24.99	states/eV per cell
magnetic moment	0.00	μB per formula unit
crystal system	monoclinic
energy of formation from the pure elements	0.503	eV/atom


# NdSm6Dy5

Crystalline NdSm6Dy5 at its relaxed geometry (PBE, Alexandria via LeMat-Bulk).

a b c (Å): 9.5107 9.5107 9.5107
angles (deg): 148.99 115.34 73.43
Sites, in units of the cell vectors:
Nd 0.0000 0.0000 0.0000
Sm 0.0843 0.8331 0.2512
Sm 0.2520 0.5000 0.7520
Sm 0.4181 0.1669 0.2512
Sm 0.5819 0.8331 0.7488
Sm 0.7480 0.5000 0.2480
Sm 0.9157 0.1669 0.7488
Dy 0.1673 0.6673 0.5000
Dy 0.3331 0.3331 0.0000
Dy 0.5000 0.0000 0.5000
Dy 0.6669 0.6669 0.0000
Dy 0.8327 0.3327 0.5000

raw total energy	-4.6574	eV per atom
DOS at the Fermi energy	16.96	states/eV per cell
magnetic moment	0.00	μB per formula unit
crystal system	orthorhombic
energy of formation from the pure elements	0.017	eV/atom


# NdSmDy3

Crystalline NdSmDy3 at its relaxed geometry (PBE, Alexandria via LeMat-Bulk).

a b c (Å): 3.6360 11.6625 8.6120
angles (deg): 90.00 102.15 90.00
Sites, in units of the cell vectors:
Nd 0.1883 0.2500 0.3778
Nd 0.8117 0.7500 0.6222
Sm 0.4876 0.7500 0.9691
Sm 0.5124 0.2500 0.0309
Dy 0.1506 0.7500 0.2981
Dy 0.3437 0.0021 0.6883
Dy 0.3437 0.4979 0.6883
Dy 0.6563 0.5021 0.3117
Dy 0.6563 0.9979 0.3117
Dy 0.8494 0.2500 0.7019

raw total energy	-4.3451	eV per atom
DOS at the Fermi energy	15.74	states/eV per cell
magnetic moment	0.00	μB per formula unit
crystal system	monoclinic
energy of formation from the pure elements	0.314	eV/atom


# Nd2Sm3Dy

Crystalline Nd2Sm3Dy at its relaxed geometry (PBE, Alexandria via LeMat-Bulk).

a b c (Å): 8.5743 3.7242 12.8609
angles (deg): 90.00 90.09 90.00
Sites, in units of the cell vectors:
Nd 0.0881 0.2500 0.3893
Nd 0.3486 0.7500 0.9460
Nd 0.6514 0.2500 0.0540
Nd 0.9119 0.7500 0.6107
Sm 0.0852 0.2500 0.1101
Sm 0.3517 0.7500 0.5520
Sm 0.3968 0.7500 0.2512
Sm 0.6032 0.2500 0.7488
Sm 0.6483 0.2500 0.4480
Sm 0.9148 0.7500 0.8899
Dy 0.1913 0.2500 0.7484
Dy 0.8087 0.7500 0.2516

raw total energy	-4.6624	eV per atom
DOS at the Fermi energy	18.56	states/eV per cell
magnetic moment	0.00	μB per formula unit
crystal system	monoclinic
energy of formation from the pure elements	0.054	eV/atom


# Nd2Sm3Dy5

Crystalline Nd2Sm3Dy5 at its relaxed geometry (PBE, Alexandria via LeMat-Bulk).

a b c (Å): 9.7262 9.7262 9.3781
angles (deg): 108.17 108.17 113.46
Sites, in units of the cell vectors:
Nd 0.0136 0.2714 0.0455
Nd 0.2714 0.0136 0.5455
Nd 0.7286 0.9864 0.4545
Nd 0.9864 0.7286 0.9545
Sm 0.0196 0.9804 0.7500
Sm 0.2213 0.4694 0.4517
Sm 0.4694 0.2213 0.9517
Sm 0.5306 0.7787 0.0483
Sm 0.7787 0.5306 0.5483
Sm 0.9804 0.0196 0.2500
Dy 0.1365 0.3918 0.7741
Dy 0.2281 0.7719 0.7500
Dy 0.2771 0.7229 0.2500
Dy 0.3918 0.1365 0.2741
Dy 0.4747 0.5253 0.2500
Dy 0.5253 0.4747 0.7500
Dy 0.6082 0.8635 0.7259
Dy 0.7229 0.2771 0.7500
Dy 0.7719 0.2281 0.2500
Dy 0.8635 0.6082 0.2259

raw total energy	-4.4842	eV per atom
DOS at the Fermi energy	35.25	states/eV per cell
magnetic moment	0.00	μB per formula unit
crystal system	monoclinic
energy of formation from the pure elements	0.186	eV/atom


# Nd9Sm3Dy2

Crystalline Nd9Sm3Dy2 at its relaxed geometry (PBE, Alexandria via LeMat-Bulk).

a b c (Å): 9.1502 9.1502 13.9354
angles (deg): 90.00 90.00 120.00
Sites, in units of the cell vectors:
Nd 0.0806 0.4805 0.2500
Nd 0.1318 0.7245 0.0409
Nd 0.1318 0.7245 0.4591
Nd 0.2755 0.4073 0.0409
Nd 0.2755 0.4073 0.4591
Nd 0.3999 0.9194 0.2500
Nd 0.4073 0.1318 0.5409
Nd 0.4073 0.1318 0.9591
Nd 0.4805 0.3999 0.7500
Nd 0.5195 0.6001 0.2500
Nd 0.5927 0.8682 0.0409
Nd 0.5927 0.8682 0.4591
Nd 0.6001 0.0806 0.7500
Nd 0.7245 0.5927 0.5409
Nd 0.7245 0.5927 0.9591
Nd 0.8682 0.2755 0.5409
Nd 0.8682 0.2755 0.9591
Nd 0.9194 0.5195 0.7500
Sm 0.0820 0.2511 0.7500
Sm 0.1691 0.9180 0.7500
Sm 0.2511 0.1691 0.2500
Sm 0.7489 0.8309 0.7500
Sm 0.8309 0.0820 0.2500
Sm 0.9180 0.7489 0.2500
Dy 0.3333 0.6667 0.6421
Dy 0.3333 0.6667 0.8579
Dy 0.6667 0.3333 0.1421
Dy 0.6667 0.3333 0.3579

raw total energy	-4.5080	eV per atom
DOS at the Fermi energy	37.07	states/eV per cell
magnetic moment	0.00	μB per formula unit
crystal system	hexagonal
energy of formation from the pure elements	0.226	eV/atom


# NdSmDy6

Crystalline NdSmDy6 at its relaxed geometry (PBE, Alexandria via LeMat-Bulk).

a b c (Å): 6.0878 6.0878 8.5433
angles (deg): 102.24 102.24 67.95
Sites, in units of the cell vectors:
Nd 0.0000 0.0000 0.0000
Sm 0.0000 0.0000 0.5000
Dy 0.0626 0.5424 0.2007
Dy 0.3735 0.3735 0.5750
Dy 0.4576 0.9374 0.7993
Dy 0.5424 0.0626 0.2007
Dy 0.6265 0.6265 0.4250
Dy 0.9374 0.4576 0.7993

raw total energy	-4.2718	eV per atom
DOS at the Fermi energy	11.27	states/eV per cell
magnetic moment	0.00	μB per formula unit
crystal system	monoclinic
energy of formation from the pure elements	0.366	eV/atom


# NdSm3Dy

Crystalline NdSm3Dy at its relaxed geometry (PBE, Alexandria via LeMat-Bulk).

a b c (Å): 3.6411 11.7700 8.6588
angles (deg): 90.00 101.42 90.00
Sites, in units of the cell vectors:
Nd 0.0771 0.2500 0.4801
Nd 0.9229 0.7500 0.5199
Sm 0.1619 0.0013 0.8056
Sm 0.1619 0.4987 0.8056
Sm 0.3423 0.2500 0.1339
Sm 0.6577 0.7500 0.8661
Sm 0.8381 0.5013 0.1944
Sm 0.8381 0.9987 0.1944
Dy 0.3099 0.7500 0.1856
Dy 0.6901 0.2500 0.8144

raw total energy	-4.4202	eV per atom
DOS at the Fermi energy	16.67	states/eV per cell
magnetic moment	0.00	μB per formula unit
crystal system	monoclinic
energy of formation from the pure elements	0.285	eV/atom


# Nd5Sm12Dy2

Crystalline Nd5Sm12Dy2 at its relaxed geometry (PBE, Alexandria via LeMat-Bulk).

a b c (Å): 12.2002 12.2002 5.7088
angles (deg): 103.45 103.45 52.64
Sites, in units of the cell vectors:
Nd 0.0000 0.0000 0.0000
Nd 0.1828 0.1828 0.1645
Nd 0.2908 0.2908 0.7869
Nd 0.7092 0.7092 0.2131
Nd 0.8172 0.8172 0.8355
Sm 0.0777 0.5305 0.3013
Sm 0.1143 0.1143 0.5936
Sm 0.2104 0.6209 0.9119
Sm 0.3791 0.7896 0.0881
Sm 0.4195 0.4195 0.4149
Sm 0.4695 0.9223 0.6987
Sm 0.5305 0.0777 0.3013
Sm 0.5805 0.5805 0.5851
Sm 0.6209 0.2104 0.9119
Sm 0.7896 0.3791 0.0881
Sm 0.8857 0.8857 0.4064
Sm 0.9223 0.4695 0.6987
Dy 0.2151 0.7849 0.5000
Dy 0.7849 0.2151 0.5000

raw total energy	-4.5909	eV per atom
DOS at the Fermi energy	32.11	states/eV per cell
magnetic moment	0.00	μB per formula unit
crystal system	monoclinic
energy of formation from the pure elements	0.129	eV/atom


# Nd2SmDy7

Crystalline Nd2SmDy7 at its relaxed geometry (PBE, Alexandria via LeMat-Bulk).

a b c (Å): 14.8413 14.8413 3.5161
angles (deg): 90.00 90.00 154.58
Sites, in units of the cell vectors:
Nd 0.2072 0.7928 0.0000
Nd 0.7928 0.2072 0.0000
Sm 0.5000 0.5000 0.5000
Dy 0.0000 0.0000 0.0000
Dy 0.1545 0.3516 0.0000
Dy 0.3146 0.6854 0.5000
Dy 0.3516 0.1545 0.0000
Dy 0.6484 0.8455 0.0000
Dy 0.6854 0.3146 0.5000
Dy 0.8455 0.6484 0.0000

raw total energy	-4.4852	eV per atom
DOS at the Fermi energy	16.62	states/eV per cell
magnetic moment	0.00	μB per formula unit
crystal system	orthorhombic
energy of formation from the pure elements	0.162	eV/atom


# NdSm6Dy6

Crystalline NdSm6Dy6 at its relaxed geometry (PBE, Alexandria via LeMat-Bulk).

a b c (Å): 6.7004 6.7004 11.4455
angles (deg): 90.00 90.00 120.00
Sites, in units of the cell vectors:
Nd 0.0000 0.0000 0.0000
Sm 0.0000 0.0000 0.3495
Sm 0.0000 0.0000 0.6505
Sm 0.3333 0.6667 0.0000
Sm 0.3333 0.6667 0.5000
Sm 0.6667 0.3333 0.0000
Sm 0.6667 0.3333 0.5000
Dy 0.0000 0.5000 0.2477
Dy 0.0000 0.5000 0.7523
Dy 0.5000 0.0000 0.2477
Dy 0.5000 0.0000 0.7523
Dy 0.5000 0.5000 0.2477
Dy 0.5000 0.5000 0.7523

raw total energy	-4.4027	eV per atom
DOS at the Fermi energy	27.91	states/eV per cell
magnetic moment	0.01	μB per formula unit
crystal system	hexagonal
energy of formation from the pure elements	0.266	eV/atom


# NdSm6Dy4

Crystalline NdSm6Dy4 at its relaxed geometry (PBE, Alexandria via LeMat-Bulk).

a b c (Å): 8.6006 8.6006 8.6006
angles (deg): 127.58 127.58 77.31
Sites, in units of the cell vectors:
Nd 0.0000 0.0000 0.0000
Sm 0.0000 0.5000 0.5000
Sm 0.0454 0.5797 0.0000
Sm 0.4203 0.4203 0.4657
Sm 0.5000 0.0000 0.5000
Sm 0.5797 0.0454 0.0000
Sm 0.9546 0.9546 0.5343
Dy 0.2564 0.2564 0.6714
Dy 0.4150 0.7436 0.0000
Dy 0.5850 0.5850 0.3286
Dy 0.7436 0.4150 0.0000

raw total energy	-4.2991	eV per atom
DOS at the Fermi energy	14.51	states/eV per cell
magnetic moment	0.00	μB per formula unit
crystal system	tetragonal
energy of formation from the pure elements	0.382	eV/atom


# NdSmDy5

Crystalline NdSmDy5 at its relaxed geometry (PBE, Alexandria via LeMat-Bulk).

a b c (Å): 6.7900 6.7900 12.1811
angles (deg): 106.92 106.92 60.23
Sites, in units of the cell vectors:
Nd 0.0270 0.9730 0.7500
Nd 0.9730 0.0270 0.2500
Sm 0.0000 0.5000 0.0000
Sm 0.5000 0.0000 0.5000
Dy 0.1427 0.4172 0.7495
Dy 0.1943 0.6501 0.5007
Dy 0.3499 0.8057 0.9993
Dy 0.4122 0.5878 0.2500
Dy 0.4172 0.1427 0.2495
Dy 0.5828 0.8573 0.7505
Dy 0.5878 0.4122 0.7500
Dy 0.6501 0.1943 0.0007
Dy 0.8057 0.3499 0.4993
Dy 0.8573 0.5828 0.2505

raw total energy	-4.4530	eV per atom
DOS at the Fermi energy	18.19	states/eV per cell
magnetic moment	0.00	μB per formula unit
crystal system	monoclinic
energy of formation from the pure elements	0.190	eV/atom


# Nd4Sm3Dy4

Crystalline Nd4Sm3Dy4 at its relaxed geometry (PBE, Alexandria via LeMat-Bulk).

a b c (Å): 12.1592 12.1592 12.1592
angles (deg): 162.91 134.02 49.40
Sites, in units of the cell vectors:
Nd 0.0323 0.8545 0.1778
Nd 0.3233 0.1455 0.1778
Nd 0.6767 0.8545 0.8222
Nd 0.9677 0.1455 0.8222
Sm 0.0000 0.5000 0.5000
Sm 0.3922 0.3922 0.0000
Sm 0.6078 0.6078 0.0000
Dy 0.2597 0.7597 0.5000
Dy 0.3174 0.0000 0.3174
Dy 0.6826 0.0000 0.6826
Dy 0.7403 0.2403 0.5000

raw total energy	-4.5669	eV per atom
DOS at the Fermi energy	16.18	states/eV per cell
magnetic moment	0.00	μB per formula unit
crystal system	orthorhombic
energy of formation from the pure elements	0.127	eV/atom


# Nd2Sm3Dy4

Crystalline Nd2Sm3Dy4 at its relaxed geometry (PBE, Alexandria via LeMat-Bulk).

a b c (Å): 6.2338 6.2373 8.0538
angles (deg): 82.46 75.08 80.51
Sites, in units of the cell vectors:
Nd 0.1675 0.3323 0.3328
Nd 0.8325 0.6677 0.6672
Sm 0.0570 0.1106 0.7783
Sm 0.5000 0.0000 0.0000
Sm 0.9430 0.8894 0.2217
Dy 0.2776 0.5542 0.8887
Dy 0.3902 0.7759 0.4450
Dy 0.6098 0.2241 0.5550
Dy 0.7224 0.4458 0.1113

raw total energy	-4.6604	eV per atom
DOS at the Fermi energy	13.38	states/eV per cell
magnetic moment	0.00	μB per formula unit
crystal system	triclinic
energy of formation from the pure elements	0.018	eV/atom


# NdSm2Dy7

Crystalline NdSm2Dy7 at its relaxed geometry (PBE, Alexandria via LeMat-Bulk).

a b c (Å): 9.7448 9.7448 5.1696
angles (deg): 90.00 90.00 127.53
Sites, in units of the cell vectors:
Nd 0.0000 0.0000 0.0000
Sm 0.2983 0.7017 0.5000
Sm 0.7017 0.2983 0.5000
Dy 0.0722 0.2889 0.5000
Dy 0.1973 0.8027 0.0000
Dy 0.2889 0.0722 0.5000
Dy 0.5000 0.5000 0.5000
Dy 0.7111 0.9278 0.5000
Dy 0.8027 0.1973 0.0000
Dy 0.9278 0.7111 0.5000

raw total energy	-3.9550	eV per atom
DOS at the Fermi energy	14.33	states/eV per cell
magnetic moment	0.00	μB per formula unit
crystal system	orthorhombic
energy of formation from the pure elements	0.687	eV/atom